A geometry-optimized KLi2LaI6 structure. Source: the Alexandria database, functional PBE-GGA.

Calculated values
Fermi-level density of states = 0.000 states/eV/cell
Space group = No. 146
Mass density = 3.96 g/cm3
Uncorrected formation energy = -13.54 eV/f.u.

abc: 7.9979 7.9955 8.5737
angles: 62.19 62.20 60.00
Fractional coordinates of all 10 atoms:
K1 0.8053 0.8052 0.5842
Li1 0.5125 0.5125 0.4625
Li2 0.0060 0.0063 0.9810
La1 0.3207 0.3207 0.0381
I1 0.6108 0.2561 0.2362
I2 0.2563 0.8967 0.2363
I3 0.8969 0.6108 0.2361
I4 0.3474 0.7467 0.7470
I5 0.7465 0.1592 0.7469
I6 0.1591 0.3474 0.7470

=====

A geometry-optimized Y4Tm2Se9 structure. Source: the Alexandria database, functional PBE-GGA.

Calculated values
Fermi-level density of states = 0.000 states/eV/cell
Space group = No. 2
Mass density = 5.39 g/cm3
Uncorrected formation energy = -27.96 eV/f.u.

abc: 7.1705 7.1729 19.4124
angles: 90.01 90.03 60.03
Fractional coordinates of all 30 atoms:
Y1 0.3330 0.3335 0.9848
Y2 0.3339 0.3332 0.4852
Y3 0.6670 0.6665 0.0152
Y4 0.3323 0.3337 0.1811
Y5 0.6661 0.6668 0.5148
Y6 0.6657 0.6669 0.3192
Y7 0.3343 0.3331 0.6808
Y8 0.6677 0.6663 0.8189
Tm1 0.9989 0.0013 0.3465
Tm2 0.9997 0.9990 0.1532
Tm3 0.0011 0.9987 0.6535
Tm4 0.0003 0.0010 0.8468
Se1 0.0012 0.3022 0.7499
Se2 0.3026 0.6969 0.7503
Se3 0.6978 0.0003 0.7501
Se4 0.9988 0.6978 0.2501
Se5 0.6974 0.3031 0.2497
Se6 0.3022 0.9997 0.2499
Se7 0.6713 0.9721 0.4165
Se8 0.9713 0.3570 0.4168
Se9 0.3554 0.6724 0.4165
Se10 0.6424 0.0294 0.0834
Se11 0.3280 0.6427 0.0834
Se12 0.0292 0.3265 0.0832
Se13 0.3287 0.0279 0.5835
Se14 0.0287 0.6430 0.5832
Se15 0.6446 0.3276 0.5835
Se16 0.3576 0.9706 0.9166
Se17 0.6720 0.3573 0.9166
Se18 0.9708 0.6735 0.9168

=====

A geometry-optimized Tl6SnHg3 structure. Source: the Alexandria database, functional PBE-GGA.

Calculated values
Relative energy among the computed polymorphs = 3 meV/atom
Fermi-level density of states = 9.156 states/eV/cell
ΔH_f (0 K) = 0.02 eV/atom
Space group = No. 36
Mass density = 10.69 g/cm3

abc: 6.3145 10.2011 10.2011
angles: 113.01 90.00 90.00
Fractional coordinates of all 20 atoms:
Tl1 0.0794 0.7029 0.6277
Tl2 0.5794 0.6277 0.7029
Tl3 0.3440 0.5473 0.9516
Tl4 0.8440 0.9516 0.5473
Tl5 0.3544 0.9465 0.0535
Tl6 0.6556 0.2879 0.7121
Tl7 0.1556 0.7121 0.2879
Tl8 0.8544 0.0535 0.9465
Tl9 0.3440 0.0484 0.4527
Tl10 0.8440 0.4527 0.0484
Tl11 0.0794 0.3723 0.2971
Tl12 0.5794 0.2971 0.3723
Sn1 0.1492 0.2085 0.7915
Sn2 0.6492 0.7915 0.2085
Hg1 0.4349 0.9449 0.7322
Hg2 0.9349 0.7322 0.9449
Hg3 0.1096 0.3877 0.6123
Hg4 0.6096 0.6123 0.3877
Hg5 0.9349 0.0551 0.2678
Hg6 0.4349 0.2678 0.0551

=====

A geometry-optimized LaBeIr2 structure. Source: the Alexandria database, functional PBE-GGA.

Calculated values
Fermi-level density of states = 2.229 states/eV/cell
ΔH_f (0 K) = -0.42 eV/atom
Space group = No. 166
Mass density = 10.78 g/cm3

abc: 4.3001 4.3001 5.6901
angles: 67.84 67.84 60.02
Fractional coordinates of all 4 atoms:
Be1 0.2500 0.2500 0.2500
Ir1 0.9340 0.9340 0.1981
Ir2 0.5660 0.5660 0.3019
La1 0.7500 0.7500 0.7500

=====

A geometry-optimized Lu3Ge5Se12 structure. Source: the Alexandria database, functional PBE-GGA.

Calculated values
Fermi-level density of states = 11.623 states/eV/cell
Space group = No. 230
Mass density = 5.96 g/cm3
Uncorrected formation energy = -14.64 eV/f.u.

abc: 13.8514 13.8514 13.8514
angles: 109.47 109.47 109.47
Fractional coordinates of all 80 atoms:
Lu1 0.7500 0.3750 0.1250
Lu2 0.8750 0.7500 0.1250
Lu3 0.3750 0.7500 0.6250
Lu4 0.2500 0.1250 0.3750
Lu5 0.8750 0.1250 0.2500
Lu6 0.3750 0.6250 0.2500
Lu7 0.6250 0.3750 0.7500
Lu8 0.1250 0.8750 0.7500
Lu9 0.7500 0.8750 0.6250
Lu10 0.6250 0.2500 0.3750
Lu11 0.1250 0.2500 0.8750
Lu12 0.2500 0.6250 0.8750
Ge1 0.1250 0.3750 0.2500
Ge2 0.0000 0.5000 0.0000
Ge3 0.0000 0.0000 0.0000
Ge4 0.3750 0.2500 0.1250
Ge5 0.5000 0.0000 0.5000
Ge6 0.5000 0.5000 0.0000
Ge7 0.1250 0.7500 0.3750
Ge8 0.7500 0.1250 0.8750
Ge9 0.7500 0.6250 0.3750
Ge10 0.3750 0.1250 0.7500
Ge11 0.6250 0.8750 0.2500
Ge12 0.5000 0.5000 0.5000
Ge13 0.5000 0.0000 0.0000
Ge14 0.0000 0.0000 0.5000
Ge15 0.2500 0.3750 0.6250
Ge16 0.2500 0.8750 0.1250
Ge17 0.0000 0.5000 0.5000
Ge18 0.8750 0.2500 0.6250
Ge19 0.6250 0.7500 0.8750
Ge20 0.8750 0.6250 0.7500
Se1 0.7197 0.1333 0.0424
Se2 0.3226 0.5424 0.4091
Se3 0.9576 0.3667 0.2803
Se4 0.5424 0.2197 0.1333
Se5 0.5865 0.7197 0.6774
Se6 0.9576 0.5909 0.1774
Se7 0.3226 0.7803 0.4135
Se8 0.0909 0.9135 0.1333
Se9 0.5909 0.9576 0.6774
Se10 0.7197 0.5865 0.1774
Se11 0.7803 0.4576 0.3667
Se12 0.8226 0.9091 0.0424
Se13 0.1333 0.7197 0.5424
Se14 0.3667 0.4091 0.0865
Se15 0.0865 0.9091 0.3667
Se16 0.4135 0.1333 0.5909
Se17 0.0865 0.1774 0.2197
Se18 0.4576 0.6774 0.0909
Se19 0.8226 0.9135 0.2803
Se20 0.1333 0.4135 0.0909
Se21 0.3667 0.9576 0.7803
Se22 0.5909 0.6333 0.4135
Se23 0.9091 0.8226 0.5424
Se24 0.7803 0.3226 0.9135
Se25 0.4091 0.3667 0.5865
Se26 0.0909 0.1774 0.4576
Se27 0.2197 0.6774 0.0865
Se28 0.1774 0.0865 0.7197
Se29 0.6333 0.0424 0.2197
Se30 0.8667 0.5865 0.9091
Se31 0.5424 0.3226 0.9091
Se32 0.5865 0.8667 0.4091
Se33 0.9135 0.8226 0.7803
Se34 0.9135 0.0909 0.6333
Se35 0.8667 0.2803 0.4576
Se36 0.1774 0.0909 0.9576
Se37 0.6333 0.5909 0.9135
Se38 0.4091 0.0424 0.3226
Se39 0.2803 0.4135 0.8226
Se40 0.2197 0.5424 0.6333
Se41 0.9091 0.0865 0.8667
Se42 0.6774 0.2197 0.5865
Se43 0.4576 0.7803 0.8667
Se44 0.0424 0.4091 0.8226
Se45 0.4135 0.2803 0.3226
Se46 0.0424 0.6333 0.7197
Se47 0.6774 0.4576 0.5909
Se48 0.2803 0.8667 0.9576

=====

A geometry-optimized BaY2Br8 structure. Source: the Alexandria database, functional PBE-GGA.

Calculated values
Fermi-level density of states = 0.000 states/eV/cell
Space group = No. 15
Mass density = 3.57 g/cm3
Uncorrected formation energy = -21.06 eV/f.u.

abc: 10.2721 10.2721 10.9223
angles: 66.71 66.71 59.95
Fractional coordinates of all 22 atoms:
Ba1 0.0236 0.9764 0.2500
Ba2 0.9764 0.0236 0.7500
Y1 0.0393 0.4638 0.2085
Y2 0.4638 0.0393 0.7085
Y3 0.5362 0.9607 0.2915
Y4 0.9607 0.5362 0.7915
Br1 0.7451 0.6430 0.3532
Br2 0.9936 0.2086 0.4150
Br3 0.3892 0.8442 0.2317
Br4 0.9155 0.3643 0.0749
Br5 0.6430 0.7451 0.8532
Br6 0.2086 0.9936 0.9150
Br7 0.8442 0.3892 0.7317
Br8 0.3643 0.9155 0.5749
Br9 0.6357 0.0845 0.4251
Br10 0.1558 0.6108 0.2683
Br11 0.7914 0.0064 0.0850
Br12 0.3570 0.2549 0.1468
Br13 0.0845 0.6357 0.9251
Br14 0.6108 0.1558 0.7683
Br15 0.0064 0.7914 0.5850
Br16 0.2549 0.3570 0.6468

=====

Summary of magnetic moment in μB/f.u.
0.0, 0.0, 0.0, 0.0, 0.0, 0.0
(order as listed above)
Summary of electronic total energy in eV per atom
-3.269, -6.275, -1.890, -7.017, -4.655, -4.482
(order as listed above)